Te2PtPb | PBE | optimized geometry

abc: 4.281 4.270 5.996
angles: 90.00 90.25 90.00
Space group P2/m (No. 10)
One atom of each set of equivalent atoms:
Te1 0.000 0.000 0.000 [1 per cell]
Te2 0.500 0.500 0.500 [1 per cell]
Pt1 0.000 0.000 0.500 [1 per cell]
Pb1 0.500 0.500 0.000 [1 per cell]

Calculated values
Magnetic moment ... 0.00 μB/cell
Density of states at the Fermi level ... 2.38 states/eV/f.u.
E_form (uncorrected) ... -0.0027 eV/atom